The following is a GGA-PBE calculation of crystalline Nd2Ga4Cu3Pt at its relaxed geometry, from the Alexandria database.

CIF file:
```
data_Nd2Ga4Cu3Pt
_chemical_formula_sum 'Nd2 Ga4 Cu3 Pt1'
_cell_length_a 4.233
_cell_length_b 4.233
_cell_length_c 10.260
_cell_angle_alpha 90.00
_cell_angle_beta 90.00
_cell_angle_gamma 90.00
_space_group_name_H-M_alt 'P -4 m 2'
_space_group_IT_number 115
_space_group_name_Hall 'P -4 -2'
loop_
_atom_site_label
_atom_site_fract_x
_atom_site_fract_y
_atom_site_fract_z
_atom_site_occupancy
Nd1 0.000 0.500 0.249 1
Ga1 0.000 0.000 0.000 1
Ga2 0.000 0.500 0.635 1
Ga3 0.500 0.500 0.000 1
Cu1 0.000 0.500 0.871 1
Cu2 0.500 0.500 0.500 1
Pt1 0.000 0.000 0.500 1
```

Calculated values
Its formation energy is -0.57 eV per atom. Its volume is 18.4 Å³/atom. For the energy, the calculation gives -4.5637 eV/atom.